No. 1
This record from OQMD via LeMat-Bulk describes an optimized crystal structure of Tb3AgHg3Pd2. The functional is PBE-GGA.

a b c (Å): 7.8596 7.8596 3.7422
angles (deg): 90.00 90.00 120.00
Last column: nearest neighbours and their distance in Å.
Space group P-62m (No. 189)
Symmetry-distinct sites (fractional):
Tb (0.0000, 0.5951, 0.0000)  4 Pd 3.03, 6 Hg 3.14-3.38, 1 Ag 3.18
Ag (0.0000, 0.0000, 0.0000)  6 Hg 2.85, 3 Tb 3.18
Hg (0.0000, 0.2743, 0.5000)  2 Ag 2.85, 2 Pd 2.88, 2 Tb 3.14
Pd (0.3333, 0.6667, 0.5000)  3 Hg 2.88, 6 Tb 3.03

ρ ... 11.61 g/cm³
Total moment ... 0.0 μB/f.u.
DFT formation energy ... -0.626 eV/atom


No. 2
This record from OQMD via LeMat-Bulk describes an optimized crystal structure of PmAgHg. The functional is PBE-GGA.

a b c (Å): 4.9347 4.9347 3.4213
angles (deg): 90.00 90.00 120.00
Last column: nearest neighbours and their distance in Å.
Space group P-6m2 (No. 187)
Symmetry-distinct sites (fractional):
Pm (0.0000, 0.0000, 0.0000)  6 Ag 3.32, 6 Hg 3.32, 2 Pm 3.42
Ag (0.3333, 0.6667, 0.5000)  3 Hg 2.85
Hg (0.6667, 0.3333, 0.5000)  3 Ag 2.85

ρ ... 10.44 g/cm³
Total moment ... 0.0 μB/f.u.
Energy above the lowest structure with this stoichiometry ... 0 meV/atom
DFT formation energy ... -0.388 eV/atom


No. 3
This record from OQMD via LeMat-Bulk describes an optimized crystal structure of PmAgHg. The functional is PBE-GGA.

a b c (Å): 6.8984 6.8984 6.8984
angles (deg): 90.00 90.00 90.00
Last column: nearest neighbours and their distance in Å.
Space group F-43m (No. 216)
Symmetry-distinct sites (fractional):
Pm (0.0000, 0.0000, 0.0000)  4 Ag 2.99
Ag (0.2500, 0.2500, 0.7500)  4 Hg 2.99, 4 Pm 2.99
Hg (0.0000, 0.0000, 0.5000)  4 Ag 2.99

ρ ... 9.17 g/cm³
Total moment ... 0.4 μB/f.u.
Energy above the lowest structure with this stoichiometry ... 179 meV/atom
DFT formation energy ... -0.208 eV/atom


No. 4
This record from OQMD via LeMat-Bulk describes an optimized crystal structure of Pm2Ag3Hg. The functional is PBE-GGA.

a b c (Å): 6.8419 9.7564 16.9172
angles (deg): 90.00 90.00 90.00
Last column: nearest neighbours and their distance in Å.
Space group Fmmm (No. 69)
Symmetry-distinct sites (fractional):
Pm (0.2477, 0.0000, 0.0000)  10 Ag 3.26-3.31, 2 Hg 3.30, 2 Pm 3.39-3.45
Pm (0.2500, 0.2500, 0.2500)  4 Hg 3.30, 8 Ag 3.31, 2 Pm 3.42
Ag (0.0000, 0.0000, 0.1651)  2 Ag 2.79, 1 Hg 2.85
Ag (0.0000, 0.2477, 0.0824)  2 Ag 2.79, 1 Hg 2.84
Hg (0.0000, 0.0000, 0.3336)  3 Ag 2.84-2.85

ρ ... 9.58 g/cm³
Total moment ... 0.0 μB/f.u.
DFT formation energy ... -0.329 eV/atom


No. 5
This record from OQMD via LeMat-Bulk describes an optimized crystal structure of PrAgHg. The functional is PBE-GGA.

a b c (Å): 6.9617 6.9617 6.9617
angles (deg): 90.00 90.00 90.00
Last column: nearest neighbours and their distance in Å.
Space group F-43m (No. 216)
Symmetry-distinct sites (fractional):
Pr (0.0000, 0.0000, 0.0000)  4 Ag 3.01
Ag (0.2500, 0.2500, 0.7500)  4 Hg 3.01, 4 Pr 3.01
Hg (0.0000, 0.0000, 0.5000)  4 Ag 3.01

ρ ... 8.85 g/cm³
Total moment ... 0.1 μB/f.u.
DFT formation energy ... -0.215 eV/atom


No. 6
This record from OQMD via LeMat-Bulk describes an optimized crystal structure of PrAgHg. The functional is PBE-GGA.

a b c (Å): 7.1610 7.1610 7.1610
angles (deg): 90.00 90.00 90.00
Last column: nearest neighbours and their distance in Å.
Space group F-43m (No. 216)
Symmetry-distinct sites (fractional):
Pr (0.0000, 0.0000, 0.0000)  4 Hg 3.10, 4 Ag 3.10
Ag (0.2500, 0.2500, 0.7500)  4 Pr 3.10
Hg (0.2500, 0.2500, 0.2500)  4 Pr 3.10

ρ ... 8.13 g/cm³
Total moment ... 0.0 μB/f.u.
DFT formation energy ... -0.012 eV/atom


No. 7
This record from OQMD via LeMat-Bulk describes an optimized crystal structure of PrAgHg. The functional is PBE-GGA.

a b c (Å): 4.9611 4.9611 3.4942
angles (deg): 90.00 90.00 120.00
Last column: nearest neighbours and their distance in Å.
Space group P-6m2 (No. 187)
Symmetry-distinct sites (fractional):
Pr (0.0000, 0.0000, 0.0000)  6 Hg 3.36, 6 Ag 3.36, 2 Pr 3.49
Ag (0.6667, 0.3333, 0.5000)  3 Hg 2.86
Hg (0.3333, 0.6667, 0.5000)  3 Ag 2.86

ρ ... 10.02 g/cm³
Total moment ... 0.0 μB/f.u.
DFT formation energy ... -0.391 eV/atom


No. 8
This record from OQMD via LeMat-Bulk describes an optimized crystal structure of Pr3AgHg3Pt2. The functional is PBE-GGA.

a b c (Å): 8.0130 8.0130 3.9062
angles (deg): 90.00 90.00 120.00
Last column: nearest neighbours and their distance in Å.
Space group P-62m (No. 189)
Symmetry-distinct sites (fractional):
Pr (0.0000, 0.5896, 0.0000)  4 Pt 3.11, 2 Hg 3.25, 1 Ag 3.29
Ag (0.0000, 0.0000, 0.0000)  6 Hg 2.88
Hg (0.0000, 0.2648, 0.5000)  2 Ag 2.88, 2 Pt 2.98
Pt (0.3333, 0.6667, 0.5000)  3 Hg 2.98, 6 Pr 3.11

ρ ... 11.64 g/cm³
Total moment ... 0.0 μB/f.u.
DFT formation energy ... -0.712 eV/atom


No. 9
This record from OQMD via LeMat-Bulk describes an optimized crystal structure of Ag2HgPt2. The functional is PBE-GGA.

a b c (Å): 3.8893 3.8893 12.7418
angles (deg): 90.00 90.00 90.00
Last column: nearest neighbours and their distance in Å.
Space group I4/mmm (No. 139)
Symmetry-distinct sites (fractional):
Ag (0.0000, 0.5000, 0.2500)  4 Pt 2.73, 4 Ag 2.75
Hg (0.0000, 0.0000, 0.0000)  8 Pt 3.03
Pt (0.0000, 0.0000, 0.4003)  1 Pt 2.54, 4 Ag 2.73

ρ ... 13.90 g/cm³
Total moment ... 0.0 μB/f.u.
DFT formation energy ... 0.299 eV/atom


No. 10
This record from OQMD via LeMat-Bulk describes an optimized crystal structure of PuAg2HgSeS3. The functional is PBE-GGA.

a b c (Å): 8.5007 8.5093 7.3960
angles (deg): 90.00 124.88 90.00
Last column: nearest neighbours and their distance in Å.
Space group Cm (No. 8)
Symmetry-distinct sites (fractional):
Pu (0.0000, 0.0000, 0.0000)  3 S 2.62-2.63, 1 Se 2.78
Ag (0.0198, 0.2365, 0.5248)  3 S 2.55-2.56, 1 Se 2.69
Hg (0.0165, 0.5000, 0.0116)  3 S 2.60-2.61, 1 Se 2.68
Se (0.3980, 0.0000, 0.2787)  1 Hg 2.68, 2 Ag 2.69, 1 Pu 2.78
S (0.3861, 0.2456, 0.7564)  2 Ag 2.55-2.56, 1 Hg 2.60, 1 Pu 2.62
S (0.3903, 0.5000, 0.2674)  2 Ag 2.55, 1 Hg 2.61, 1 Pu 2.63

VASP energy ... -78.8 eV for the cell shown
ρ ... 6.32 g/cm³
Total moment ... 4.0 μB/f.u.


No. 11
This record from OQMD via LeMat-Bulk describes an optimized crystal structure of RbAgHg. The functional is PBE-GGA.

a b c (Å): 7.6866 7.6866 7.6866
angles (deg): 90.00 90.00 90.00
Last column: nearest neighbours and their distance in Å.
Space group F-43m (No. 216)
Symmetry-distinct sites (fractional):
Rb (0.0000, 0.0000, 0.0000)  4 Ag 3.33
Ag (0.2500, 0.2500, 0.7500)  4 Hg 3.33, 4 Rb 3.33
Hg (0.0000, 0.0000, 0.5000)  4 Ag 3.33

ρ ... 5.76 g/cm³
Energy above the lowest structure with this stoichiometry ... 0 meV/atom


No. 12
This record from OQMD via LeMat-Bulk describes an optimized crystal structure of AgHgS6. The functional is PBE-GGA.

a b c (Å): 8.9162 8.9162 8.9162
angles (deg): 90.00 90.00 90.00
Last column: nearest neighbours and their distance in Å.
Space group F-43m (No. 216)
Symmetry-distinct sites (fractional):
Ag (0.0000, 0.0000, 0.0000)  6 S 2.61
Hg (0.2500, 0.2500, 0.7500)  12 S 3.18
S (0.0000, 0.0000, 0.2925)  1 Ag 2.61, 4 S 2.62

VASP energy ... -83.2 eV for the cell shown
ρ ... 4.69 g/cm³


Q: Which of these has the highest ρ?
A: Ag2HgPt2


Q: What is the ρ in the first record?
A: 11.61 g/cm³


Q: The highest ρ belongs to which entry?
A: Ag2HgPt2


Q: Among the records above, which one has the lowest ρ?
A: AgHgS6